Computed, not measured: a geometry-optimized Li4TbSb2 structure at the PBE level of DFT.

Calculated values
Formation energy from raw total energies: -69.0 kJ/mol of atoms
Symmetry: R-3m, No. 166
Crystal system: trigonal

a b c (Å): 4.546 4.546 8.488
angles (deg): 74.47 74.47 60.00
Element x y z (fractional)
Li: 0.861 0.861 0.416
Li: 0.139 0.139 0.584
Li: 0.572 0.572 0.285
Li: 0.428 0.428 0.715
Tb: 0.000 0.000 0.000
Sb: 0.744 0.744 0.768
Sb: 0.256 0.256 0.232

=====

Computed, not measured: a geometry-optimized K2NpPbF8 structure at the PBE level of DFT.

Calculated values
Formation energy from raw total energies: -293.7 kJ/mol of atoms
Symmetry: I-4m2, No. 119
Crystal system: tetragonal

a b c (Å): 6.011 6.011 7.164
angles (deg): 114.81 114.81 90.00
Last column: magnetic moment on the atom in μB.
Element x y z (fractional)
K: 0.750 0.250 0.500  0.00
K: 0.000 0.000 0.000  0.00
Np: 0.250 0.750 0.500  3.03
Pb: 0.500 0.500 0.000  0.00
F: 0.152 0.639 0.732  -0.01
F: 0.580 0.639 0.732  -0.01
F: 0.361 0.420 0.268  -0.01
F: 0.907 0.848 0.268  -0.01
F: 0.580 0.093 0.732  -0.01
F: 0.361 0.848 0.268  -0.01
F: 0.152 0.093 0.732  -0.01
F: 0.907 0.420 0.268  -0.01

=====

Computed, not measured: a geometry-optimized InHg2 structure at the PBE level of DFT.

Calculated values
Symmetry: P4/mmm, No. 123
Crystal system: tetragonal

a b c (Å): 5.113 5.113 3.562
angles (deg): 90.00 90.00 90.00
Element x y z (fractional)
Hg: 0.000 0.500 0.500
Hg: 0.500 0.000 0.500
In: 0.000 0.000 0.000

=====

Computed, not measured: a geometry-optimized Ac3SmTe4 structure at the PBE level of DFT.

Calculated values
Formation energy from raw total energies: -140.0 kJ/mol of atoms
Symmetry: P2/c, No. 13
Crystal system: monoclinic

a b c (Å): 8.071 8.169 9.196
angles (deg): 90.00 90.00 108.90
Element x y z (fractional)
Ac: 0.750 0.000 0.373
Ac: 0.250 0.000 0.627
Ac: 0.750 0.500 0.625
Ac: 0.750 0.500 0.125
Ac: 0.250 0.500 0.375
Ac: 0.250 0.500 0.875
Te: 0.993 0.243 0.632
Te: 0.500 0.238 0.882
Te: 0.493 0.243 0.368
Te: 0.000 0.238 0.118
Te: 0.000 0.762 0.882
Te: 0.507 0.757 0.632
Te: 0.500 0.762 0.118
Te: 0.007 0.757 0.368
Sm: 0.750 0.000 0.876
Sm: 0.250 0.000 0.124

=====

Computed, not measured: a geometry-optimized Pu2PaSe3 structure at the PBE level of DFT.

Calculated values
Formation energy from raw total energies: -136.5 kJ/mol of atoms
Symmetry: C2/m, No. 12
Crystal system: monoclinic

a b c (Å): 7.026 7.026 7.233
angles (deg): 99.31 99.31 119.97
Last column: magnetic moment on the atom in μB.
Element x y z (fractional)
Pu: 0.833 0.167 0.500  -5.34
Pu: 0.333 0.667 0.000  5.37
Pu: 0.167 0.833 0.500  -5.34
Pu: 0.499 0.501 0.500  -5.34
Pa: 0.000 0.000 0.000  0.50
Pa: 0.667 0.333 0.000  0.50
Se: 0.584 0.918 0.750  0.03
Se: 0.082 0.416 0.250  0.03
Se: 0.915 0.583 0.749  0.03
Se: 0.250 0.248 0.749  0.03
Se: 0.417 0.085 0.251  0.03
Se: 0.752 0.750 0.251  0.03

=====

| no. | spin magnetization (μB/f.u.) | DFT total energy (eV per cell) |
| --- | --- | --- |
| 1 | 0.0 | -25.54 |
| 2 | 3.0 | -70.34 |
| 3 | 0.0 | -3.21 |
| 4 | 0.0 | -82.43 |
| 5 | 4.9 | -114.20 |